Entry 1:
Computed, not measured: a relaxed structure of NaSr3In8 at the PBE level of DFT.

Unit cell a=11.0324 b=11.0324 c=11.0324 alpha=32.94 beta=32.94 gamma=32.94
Sites, in units of the cell vectors:
Na  0.0000  0.0000  0.0000
Sr  0.1217  0.1217  0.1217
Sr  0.5002  0.5002  0.5002
Sr  0.6279  0.6279  0.6279
In  0.0624  0.5620  0.5620
In  0.0630  0.0630  0.5633
In  0.0630  0.5633  0.0630
In  0.3130  0.3130  0.3130
In  0.5620  0.0624  0.5620
In  0.5620  0.5620  0.0624
In  0.5633  0.0630  0.0630
In  0.8125  0.8125  0.8125

Values from the calculation:
E_tot, eV per atom: -2.692
Calculated formation energy, eV per atom: -0.3361
Volume, Å³/atom: 29.44
Magnetization, μB/cell: 0.00

Entry 2:
Computed, not measured: a relaxed structure of NaSr4In at the PBE level of DFT.

Unit cell a=7.7418 b=7.7418 c=8.7284 alpha=106.55 beta=106.55 gamma=31.78
Sites, in units of the cell vectors:
Na  0.0000  0.0000  0.0000
Sr  0.3526  0.3526  0.1978
Sr  0.3619  0.3619  0.6602
Sr  0.6381  0.6381  0.3398
Sr  0.6474  0.6474  0.8022
In  0.0000  0.0000  0.5000

Values from the calculation:
E_tot, eV per atom: -1.942
Calculated formation energy, eV per atom: -0.1447
Volume, Å³/atom: 43.86
Magnetization, μB/cell: 0.00

Entry 3:
Computed, not measured: a relaxed structure of NaSr3In2 at the PBE level of DFT.

Unit cell a=4.1309 b=4.1309 c=13.1451 alpha=90.00 beta=90.00 gamma=90.00
Sites, in units of the cell vectors:
Na  0.0000  0.0000  0.0000
Sr  0.5000  0.5000  0.2018
Sr  0.5000  0.5000  0.5000
Sr  0.5000  0.5000  0.7982
In  0.0000  0.0000  0.3489
In  0.0000  0.0000  0.6511

Values from the calculation:
E_tot, eV per atom: -2.271
Calculated formation energy, eV per atom: -0.2977
Volume, Å³/atom: 37.39
Magnetization, μB/cell: 0.00

Q: Among the records above, which one has the highest volume?
A: NaSr4In

Please write out number 1 again, unchanged.
Computed, not measured: a relaxed structure of NaSr3In8 at the PBE level of DFT.

Unit cell a=11.0324 b=11.0324 c=11.0324 alpha=32.94 beta=32.94 gamma=32.94
Sites, in units of the cell vectors:
Na  0.0000  0.0000  0.0000
Sr  0.1217  0.1217  0.1217
Sr  0.5002  0.5002  0.5002
Sr  0.6279  0.6279  0.6279
In  0.0624  0.5620  0.5620
In  0.0630  0.0630  0.5633
In  0.0630  0.5633  0.0630
In  0.3130  0.3130  0.3130
In  0.5620  0.0624  0.5620
In  0.5620  0.5620  0.0624
In  0.5633  0.0630  0.0630
In  0.8125  0.8125  0.8125

Values from the calculation:
E_tot, eV per atom: -2.692
Calculated formation energy, eV per atom: -0.3361
Volume, Å³/atom: 29.44
Magnetization, μB/cell: 0.00